## TaCrAs2 (PBE)

Data for a relaxed structure of TaCrAs2.

Summary:
Calculated volume (Å³ per atom): 17.74
Total energy (eV per atom): -7.736
Formation energy (kJ/mol of formula units): -16
D(E_F) (states/eV per atom): 0.722

The structure in CIF format:
```
data_TaCrAs2
_symmetry_space_group_name_H-M 'P 1'
_symmetry_Int_Tables_number 1
_cell_length_a 6.5377
_cell_length_b 6.5377
_cell_length_c 6.5377
_cell_angle_alpha 32.31
_cell_angle_beta 32.31
_cell_angle_gamma 32.31
loop_
_symmetry_equiv_pos_as_xyz
'x,y,z'
loop_
_atom_site_label
_atom_site_type_symbol
_atom_site_fract_x
_atom_site_fract_y
_atom_site_fract_z
Ta1 Ta 0.0000 0.0000 0.0000
Cr1 Cr 0.5000 0.5000 0.5000
As1 As 0.2463 0.2463 0.2463
As2 As 0.7537 0.7537 0.7537
```



## TiReP3 (PBE)

Data for a relaxed structure of TiReP3.

Summary:
Calculated volume (Å³ per atom): 19.69
Total energy (eV per atom): -6.584
Formation energy (kJ/mol of formula units): 352
D(E_F) (states/eV per atom): 1.818

The structure in CIF format:
```
data_TiReP3
_symmetry_space_group_name_H-M 'P 1'
_symmetry_Int_Tables_number 1
_cell_length_a 4.6175
_cell_length_b 4.6175
_cell_length_c 4.6175
_cell_angle_alpha 90.00
_cell_angle_beta 90.00
_cell_angle_gamma 90.00
loop_
_symmetry_equiv_pos_as_xyz
'x,y,z'
loop_
_atom_site_label
_atom_site_type_symbol
_atom_site_fract_x
_atom_site_fract_y
_atom_site_fract_z
Ti1 Ti 0.0000 0.0000 0.0000
Re1 Re 0.5000 0.5000 0.5000
P1 P 0.0000 0.5000 0.5000
P2 P 0.5000 0.0000 0.5000
P3 P 0.5000 0.5000 0.0000
```



## Sm5Tm4Tl4 (PBE)

Data for a relaxed structure of Sm5Tm4Tl4.

Summary:
Calculated volume (Å³ per atom): 30.11
Total energy (eV per atom): -4.166
Formation energy (kJ/mol of formula units): -310
D(E_F) (states/eV per atom): 0.955

The structure in CIF format:
```
data_Sm5Tm4Tl4
_symmetry_space_group_name_H-M 'P 1'
_symmetry_Int_Tables_number 1
_cell_length_a 9.1716
_cell_length_b 9.1716
_cell_length_c 9.1716
_cell_angle_alpha 94.31
_cell_angle_beta 94.31
_cell_angle_gamma 148.16
loop_
_symmetry_equiv_pos_as_xyz
'x,y,z'
loop_
_atom_site_label
_atom_site_type_symbol
_atom_site_fract_x
_atom_site_fract_y
_atom_site_fract_z
Sm1 Sm 0.0000 0.0000 0.0000
Sm2 Sm 0.3083 0.3950 0.7032
Sm3 Sm 0.3950 0.6917 0.0867
Sm4 Sm 0.6050 0.3083 0.9133
Sm5 Sm 0.6917 0.6050 0.2968
Tm1 Tm 0.0944 0.5994 0.6939
Tm2 Tm 0.4006 0.0944 0.4950
Tm3 Tm 0.5994 0.9056 0.5050
Tm4 Tm 0.9056 0.4006 0.3061
Tl1 Tl 0.0963 0.2389 0.3352
Tl2 Tl 0.2389 0.9037 0.1427
Tl3 Tl 0.7611 0.0963 0.8573
Tl4 Tl 0.9037 0.7611 0.6648
```



## Ho2Tm2Mg3 (PBE)

Data for a relaxed structure of Ho2Tm2Mg3.

Summary:
Calculated volume (Å³ per atom): 27.29
Total energy (eV per atom): -3.318
Formation energy (kJ/mol of formula units): -33
D(E_F) (states/eV per atom): 1.447

The structure in CIF format:
```
data_Ho2Tm2Mg3
_symmetry_space_group_name_H-M 'P 1'
_symmetry_Int_Tables_number 1
_cell_length_a 14.1219
_cell_length_b 14.1219
_cell_length_c 3.7109
_cell_angle_alpha 97.50
_cell_angle_beta 97.50
_cell_angle_gamma 15.09
loop_
_symmetry_equiv_pos_as_xyz
'x,y,z'
loop_
_atom_site_label
_atom_site_type_symbol
_atom_site_fract_x
_atom_site_fract_y
_atom_site_fract_z
Ho1 Ho 0.0685 0.0685 0.0683
Ho2 Ho 0.9315 0.9315 0.9317
Tm1 Tm 0.2087 0.2087 0.2089
Tm2 Tm 0.7913 0.7913 0.7911
Mg1 Mg 0.3609 0.3609 0.3609
Mg2 Mg 0.5000 0.5000 0.5000
Mg3 Mg 0.6391 0.6391 0.6391
```



## KBa2H6Os (PBE)

Data for a relaxed structure of KBa2H6Os.

Summary:
Calculated volume (Å³ per atom): 19.75
Total energy (eV per atom): -4.027
D(E_F) (states/eV per atom): 0.135

The structure in CIF format:
```
data_KBa2H6Os
_symmetry_space_group_name_H-M 'P 1'
_symmetry_Int_Tables_number 1
_cell_length_a 5.5279
_cell_length_b 5.5279
_cell_length_c 7.4628
_cell_angle_alpha 90.00
_cell_angle_beta 90.00
_cell_angle_gamma 120.00
loop_
_symmetry_equiv_pos_as_xyz
'x,y,z'
loop_
_atom_site_label
_atom_site_type_symbol
_atom_site_fract_x
_atom_site_fract_y
_atom_site_fract_z
K1 K 0.0000 0.0000 0.0000
Ba1 Ba 0.3333 0.6667 0.3402
Ba2 Ba 0.6667 0.3333 0.6598
H1 H 0.1475 0.2949 0.6365
H2 H 0.1475 0.8525 0.6365
H3 H 0.2949 0.1475 0.3635
H4 H 0.7051 0.8525 0.6365
H5 H 0.8525 0.1475 0.3635
H6 H 0.8525 0.7051 0.3635
Os1 Os 0.0000 0.0000 0.5000
```



## Th12Tc2Bi5 (PBE)

Data for a relaxed structure of Th12Tc2Bi5.

Summary:
Calculated volume (Å³ per atom): 34.98
Total energy (eV per atom): -6.866
Formation energy (kJ/mol of formula units): -124
D(E_F) (states/eV per atom): 1.276

The structure in CIF format:
```
data_Th12Tc2Bi5
_symmetry_space_group_name_H-M 'P 1'
_symmetry_Int_Tables_number 1
_cell_length_a 9.8852
_cell_length_b 9.8852
_cell_length_c 9.9851
_cell_angle_alpha 106.12
_cell_angle_beta 106.12
_cell_angle_gamma 45.58
loop_
_symmetry_equiv_pos_as_xyz
'x,y,z'
loop_
_atom_site_label
_atom_site_type_symbol
_atom_site_fract_x
_atom_site_fract_y
_atom_site_fract_z
Th1 Th 0.0125 0.0125 0.1839
Th2 Th 0.0983 0.5944 0.9455
Th3 Th 0.1220 0.6030 0.4782
Th4 Th 0.3970 0.8780 0.5218
Th5 Th 0.4056 0.9017 0.0545
Th6 Th 0.4870 0.4870 0.7529
Th7 Th 0.5130 0.5130 0.2471
Th8 Th 0.5944 0.0983 0.9455
Th9 Th 0.6030 0.1220 0.4782
Th10 Th 0.8780 0.3970 0.5218
Th11 Th 0.9017 0.4056 0.0545
Th12 Th 0.9875 0.9875 0.8161
Tc1 Tc 0.3023 0.6977 0.0000
Tc2 Tc 0.6977 0.3023 0.0000
Bi1 Bi 0.0000 0.0000 0.5000
Bi2 Bi 0.2810 0.2810 0.6634
Bi3 Bi 0.3125 0.3125 0.1966
Bi4 Bi 0.6875 0.6875 0.8034
Bi5 Bi 0.7190 0.7190 0.3366
```



## Rb3NaI4 (PBE)

Data for a relaxed structure of Rb3NaI4.

Summary:
Calculated volume (Å³ per atom): 59.03
Total energy (eV per atom): -2.688
Uncorrected formation energy (eV/atom): -1.385
D(E_F) (states/eV per atom): 0.000

The structure in CIF format:
```
data_Rb3NaI4
_symmetry_space_group_name_H-M 'P 1'
_symmetry_Int_Tables_number 1
_cell_length_a 12.2799
_cell_length_b 10.4446
_cell_length_c 7.3637
_cell_angle_alpha 90.00
_cell_angle_beta 90.00
_cell_angle_gamma 90.00
loop_
_symmetry_equiv_pos_as_xyz
'x,y,z'
loop_
_atom_site_label
_atom_site_type_symbol
_atom_site_fract_x
_atom_site_fract_y
_atom_site_fract_z
Rb1 Rb 0.0000 0.1520 0.0000
Rb2 Rb 0.2401 0.3309 0.5000
Rb3 Rb 0.2599 0.6691 0.0000
Rb4 Rb 0.5000 0.8480 0.5000
Rb5 Rb 0.7401 0.6691 0.0000
Rb6 Rb 0.7599 0.3309 0.5000
Na1 Na 0.0000 0.8230 0.4573
Na2 Na 0.5000 0.1770 0.9573
I1 I 0.0000 0.1250 0.5012
I2 I 0.0000 0.8127 0.0211
I3 I 0.2294 0.6831 0.5012
I4 I 0.2706 0.3169 0.0012
I5 I 0.5000 0.1873 0.5211
I6 I 0.5000 0.8750 0.0012
I7 I 0.7294 0.3169 0.0012
I8 I 0.7706 0.6831 0.5012
```



Look up the D(E_F) of the fourth one. 1.447 states/eV per atom



Look up the total energy of the seventh one. -2.688 eV per atom



Number 2 is which compound? TiReP3



Which of these has the lowest calculated volume? TaCrAs2